Entry 1:
10
Lattice="5.464 -2.127 0.000 5.464 2.127 0.000 -5.040 0.000 8.818" Properties=species:S:1:pos:R:3 comment="TbSmSi2Os | OQMD | PBE | optimized geometry" spacegroup="C2/m, No. 12" e_tot_ry_per_atom=-0.517 de_polymorph_kj_per_mol_atoms=1.2 magmom_total_mub_per_cell=0.090 pbc="T T T"
Tb 1.450 0.000 0.971
Tb 4.438 0.000 7.847
Sm -3.304 0.000 6.006
Sm 9.193 0.000 2.812
Si 1.616 0.000 3.864
Si 1.043 0.000 7.719
Si 4.845 0.000 1.099
Si 4.272 0.000 4.954
Os -0.178 0.000 5.525
Os 6.066 0.000 3.293


Entry 2:
10
Lattice="5.405 -2.125 0.000 5.405 2.125 0.000 -4.967 0.000 8.868" Properties=species:S:1:pos:R:3 comment="TbSmSi2Os | OQMD | PBE | optimized geometry" spacegroup="C2/m, No. 12" e_tot_ry_per_atom=-0.518 de_polymorph_kj_per_mol_atoms=0.0 magmom_total_mub_per_cell=0.166 pbc="T T T"
Tb -0.802 0.000 1.572
Tb 6.645 0.000 7.296
Sm -1.004 0.000 5.418
Sm 6.847 0.000 3.450
Si -0.847 0.000 8.339
Si 3.554 0.000 3.305
Si 2.289 0.000 5.563
Si 6.690 0.000 0.529
Os 2.305 0.000 1.106
Os 3.538 0.000 7.762